Entry 1:
# LiAg (PBE, optimized geometry)
data_LiAg
_chemical_formula_sum 'Li8 Ag8'
_cell_length_a 9.837
_cell_length_b 4.735
_cell_length_c 5.737
_cell_angle_alpha 90.00
_cell_angle_beta 90.00
_cell_angle_gamma 90.00
_space_group_name_H-M_alt 'P 1'
_space_group_IT_number 1
loop_
_space_group_symop_operation_xyz
'x,y,z'
loop_
_atom_site_label
_atom_site_type_symbol
_atom_site_fract_x
_atom_site_fract_y
_atom_site_fract_z
_atom_site_occupancy
Li1 Li 0.091 0.250 0.018 1
Li2 Li 0.168 0.750 0.277 1
Li3 Li 0.332 0.250 0.777 1
Li4 Li 0.409 0.750 0.518 1
Li5 Li 0.591 0.250 0.482 1
Li6 Li 0.668 0.750 0.223 1
Li7 Li 0.832 0.250 0.723 1
Li8 Li 0.909 0.750 0.982 1
Ag1 Ag 0.088 0.250 0.516 1
Ag2 Ag 0.159 0.750 0.773 1
Ag3 Ag 0.341 0.250 0.273 1
Ag4 Ag 0.412 0.750 0.016 1
Ag5 Ag 0.588 0.250 0.984 1
Ag6 Ag 0.659 0.750 0.727 1
Ag7 Ag 0.841 0.250 0.227 1
Ag8 Ag 0.912 0.750 0.484 1
# E_form in eV/atom: -0.176
# V in Å³/atom: 16.70

Entry 2:
# PrSmZn3 (PBE, optimized geometry)
data_PrSmZn3
_chemical_formula_sum 'Pr2 Sm2 Zn6'
_cell_length_a 14.049
_cell_length_b 14.049
_cell_length_c 4.556
_cell_angle_alpha 90.00
_cell_angle_beta 90.00
_cell_angle_gamma 165.12
_space_group_name_H-M_alt 'P 1'
_space_group_IT_number 1
loop_
_space_group_symop_operation_xyz
'x,y,z'
loop_
_atom_site_label
_atom_site_type_symbol
_atom_site_fract_x
_atom_site_fract_y
_atom_site_fract_z
_atom_site_occupancy
Pr1 Pr 0.208 0.792 0.750 1
Pr2 Pr 0.792 0.208 0.250 1
Sm1 Sm 0.070 0.930 0.250 1
Sm2 Sm 0.930 0.070 0.750 1
Zn1 Zn 0.335 0.665 0.750 1
Zn2 Zn 0.385 0.615 0.250 1
Zn3 Zn 0.477 0.523 0.250 1
Zn4 Zn 0.523 0.477 0.750 1
Zn5 Zn 0.615 0.385 0.750 1
Zn6 Zn 0.665 0.335 0.250 1
# E_form in eV/atom: -0.313
# V in Å³/atom: 23.10

Entry 3:
# ZnAuSe (PBE, optimized geometry)
data_ZnAuSe
_chemical_formula_sum 'Zn1 Au1 Se1'
_cell_length_a 4.432
_cell_length_b 4.432
_cell_length_c 4.432
_cell_angle_alpha 60.00
_cell_angle_beta 60.00
_cell_angle_gamma 60.00
_space_group_name_H-M_alt 'P 1'
_space_group_IT_number 1
loop_
_space_group_symop_operation_xyz
'x,y,z'
loop_
_atom_site_label
_atom_site_type_symbol
_atom_site_fract_x
_atom_site_fract_y
_atom_site_fract_z
_atom_site_occupancy
Zn1 Zn 0.000 0.000 0.000 1
Au1 Au 0.250 0.250 0.250 1
Se1 Se 0.750 0.750 0.750 1
# Formation energy from raw total energies in eV/atom: 0.002
# V in Å³/atom: 20.52
# Offset from the most stable computed form in meV per atom: 193

Entry 4:
# Rb2HgBrO (PBE, optimized geometry)
data_Rb2HgBrO
_chemical_formula_sum 'Rb2 Hg1 Br1 O1'
_cell_length_a 5.905
_cell_length_b 5.905
_cell_length_c 4.568
_cell_angle_alpha 90.00
_cell_angle_beta 90.00
_cell_angle_gamma 90.00
_space_group_name_H-M_alt 'P 1'
_space_group_IT_number 1
loop_
_space_group_symop_operation_xyz
'x,y,z'
loop_
_atom_site_label
_atom_site_type_symbol
_atom_site_fract_x
_atom_site_fract_y
_atom_site_fract_z
_atom_site_occupancy
Rb1 Rb 0.000 0.500 0.000 1
Rb2 Rb 0.500 0.000 0.000 1
Hg1 Hg 0.000 0.000 0.500 1
Br1 Br 0.500 0.500 0.500 1
O1 O 0.000 0.000 0.000 1
# Formation energy from raw total energies in eV/atom: -1.088
# V in Å³/atom: 31.86

Entry 5:
# Ni2HI (PBE, optimized geometry)
data_Ni2HI
_chemical_formula_sum 'Ni4 H2 I2'
_cell_length_a 6.066
_cell_length_b 6.066
_cell_length_c 6.066
_cell_angle_alpha 134.90
_cell_angle_beta 134.90
_cell_angle_gamma 65.69
_space_group_name_H-M_alt 'P 1'
_space_group_IT_number 1
loop_
_space_group_symop_operation_xyz
'x,y,z'
loop_
_atom_site_label
_atom_site_type_symbol
_atom_site_fract_x
_atom_site_fract_y
_atom_site_fract_z
_atom_site_occupancy
Ni1 Ni 0.375 0.225 0.350 1
Ni2 Ni 0.775 0.125 0.150 1
Ni3 Ni 0.875 0.025 0.650 1
Ni4 Ni 0.975 0.625 0.850 1
H1 H 0.000 0.000 0.000 1
H2 H 0.750 0.250 0.500 1
I1 I 0.250 0.750 0.500 1
I2 I 0.500 0.500 0.000 1
# V in Å³/atom: 13.79
# Offset from the most stable computed form in meV per atom: 0

Entry 6:
# CrReAu2 (PBE, optimized geometry)
data_CrReAu2
_chemical_formula_sum 'Cr1 Re1 Au2'
_cell_length_a 4.966
_cell_length_b 4.966
_cell_length_c 2.843
_cell_angle_alpha 90.00
_cell_angle_beta 90.00
_cell_angle_gamma 112.95
_space_group_name_H-M_alt 'P 1'
_space_group_IT_number 1
loop_
_space_group_symop_operation_xyz
'x,y,z'
loop_
_atom_site_label
_atom_site_type_symbol
_atom_site_fract_x
_atom_site_fract_y
_atom_site_fract_z
_atom_site_occupancy
Cr1 Cr 0.000 0.000 0.000 1
Re1 Re 0.500 0.500 0.000 1
Au1 Au 0.000 0.500 0.500 1
Au2 Au 0.500 0.000 0.500 1
# E_form in eV/atom: 0.480
# V in Å³/atom: 16.14
# Offset from the most stable computed form in meV per atom: 212

Entry 7:
# La4SnPbS (PBE, optimized geometry)
data_La4SnPbS
_chemical_formula_sum 'La8 Sn2 Pb2 S2'
_cell_length_a 9.287
_cell_length_b 9.287
_cell_length_c 7.595
_cell_angle_alpha 90.00
_cell_angle_beta 90.00
_cell_angle_gamma 131.57
_space_group_name_H-M_alt 'P 1'
_space_group_IT_number 1
loop_
_space_group_symop_operation_xyz
'x,y,z'
loop_
_atom_site_label
_atom_site_type_symbol
_atom_site_fract_x
_atom_site_fract_y
_atom_site_fract_z
_atom_site_occupancy
La1 La 0.000 0.500 0.000 1
La2 La 0.000 0.500 0.500 1
La3 La 0.077 0.923 0.750 1
La4 La 0.420 0.580 0.750 1
La5 La 0.500 0.000 0.000 1
La6 La 0.500 0.000 0.500 1
La7 La 0.580 0.420 0.250 1
La8 La 0.923 0.077 0.250 1
Sn1 Sn 0.117 0.883 0.250 1
Sn2 Sn 0.883 0.117 0.750 1
Pb1 Pb 0.386 0.614 0.250 1
Pb2 Pb 0.614 0.386 0.750 1
S1 S 0.248 0.752 0.750 1
S2 S 0.752 0.248 0.250 1
# Formation energy from raw total energies in eV/atom: -0.904
# V in Å³/atom: 35.00

Entry 8:
# Cu2IrPt (PBE, optimized geometry)
data_Cu2IrPt
_chemical_formula_sum 'Cu2 Ir1 Pt1'
_cell_length_a 2.677
_cell_length_b 2.677
_cell_length_c 8.888
_cell_angle_alpha 90.00
_cell_angle_beta 90.00
_cell_angle_gamma 118.41
_space_group_name_H-M_alt 'P 1'
_space_group_IT_number 1
loop_
_space_group_symop_operation_xyz
'x,y,z'
loop_
_atom_site_label
_atom_site_type_symbol
_atom_site_fract_x
_atom_site_fract_y
_atom_site_fract_z
_atom_site_occupancy
Cu1 Cu 0.000 0.000 0.248 1
Cu2 Cu 0.000 0.000 0.752 1
Ir1 Ir 0.500 0.500 0.000 1
Pt1 Pt 0.500 0.500 0.500 1
# E_form in eV/atom: 0.057
# V in Å³/atom: 14.00
# Offset from the most stable computed form in meV per atom: 99

Entry 9:
# NaSb2Rh4 (PBE, optimized geometry)
data_NaSb2Rh4
_chemical_formula_sum 'Na2 Sb4 Rh8'
_cell_length_a 8.045
_cell_length_b 8.045
_cell_length_c 4.054
_cell_angle_alpha 90.00
_cell_angle_beta 90.00
_cell_angle_gamma 90.00
_space_group_name_H-M_alt 'P 1'
_space_group_IT_number 1
loop_
_space_group_symop_operation_xyz
'x,y,z'
loop_
_atom_site_label
_atom_site_type_symbol
_atom_site_fract_x
_atom_site_fract_y
_atom_site_fract_z
_atom_site_occupancy
Na1 Na 0.000 0.000 0.000 1
Na2 Na 0.500 0.500 0.500 1
Sb1 Sb 0.230 0.230 0.500 1
Sb2 Sb 0.270 0.730 0.000 1
Sb3 Sb 0.730 0.270 0.000 1
Sb4 Sb 0.770 0.770 0.500 1
Rh1 Rh 0.076 0.652 0.500 1
Rh2 Rh 0.152 0.424 0.000 1
Rh3 Rh 0.348 0.924 0.500 1
Rh4 Rh 0.424 0.152 0.000 1
Rh5 Rh 0.576 0.848 0.000 1
Rh6 Rh 0.652 0.076 0.500 1
Rh7 Rh 0.848 0.576 0.000 1
Rh8 Rh 0.924 0.348 0.500 1
# Formation energy from raw total energies in eV/atom: -0.317
# V in Å³/atom: 18.74

Entry 10:
# CaTe2Mo (PBE, optimized geometry)
data_CaTe2Mo
_chemical_formula_sum 'Ca1 Te2 Mo1'
_cell_length_a 5.022
_cell_length_b 5.022
_cell_length_c 5.022
_cell_angle_alpha 60.00
_cell_angle_beta 60.00
_cell_angle_gamma 60.00
_space_group_name_H-M_alt 'P 1'
_space_group_IT_number 1
loop_
_space_group_symop_operation_xyz
'x,y,z'
loop_
_atom_site_label
_atom_site_type_symbol
_atom_site_fract_x
_atom_site_fract_y
_atom_site_fract_z
_atom_site_occupancy
Ca1 Ca 0.000 0.000 0.000 1
Te1 Te 0.250 0.250 0.250 1
Te2 Te 0.750 0.750 0.750 1
Mo1 Mo 0.500 0.500 0.500 1
# Formation energy from raw total energies in eV/atom: -0.258
# V in Å³/atom: 22.39
# Offset from the most stable computed form in meV per atom: 174

Entry 11:
# ThGa2Sn (PBE, optimized geometry)
data_ThGa2Sn
_chemical_formula_sum 'Th1 Ga2 Sn1'
_cell_length_a 4.643
_cell_length_b 4.643
_cell_length_c 4.340
_cell_angle_alpha 90.00
_cell_angle_beta 90.00
_cell_angle_gamma 90.00
_space_group_name_H-M_alt 'P 1'
_space_group_IT_number 1
loop_
_space_group_symop_operation_xyz
'x,y,z'
loop_
_atom_site_label
_atom_site_type_symbol
_atom_site_fract_x
_atom_site_fract_y
_atom_site_fract_z
_atom_site_occupancy
Th1 Th 0.000 0.000 0.000 1
Ga1 Ga 0.000 0.500 0.500 1
Ga2 Ga 0.500 0.000 0.500 1
Sn1 Sn 0.500 0.500 0.000 1
# E_form in eV/atom: -0.466
# V in Å³/atom: 23.39
# Offset from the most stable computed form in meV per atom: 0

Entry 12:
# K2ScCu (PBE, optimized geometry)
data_K2ScCu
_chemical_formula_sum 'K2 Sc1 Cu1'
_cell_length_a 3.583
_cell_length_b 6.224
_cell_length_c 5.696
_cell_angle_alpha 90.00
_cell_angle_beta 97.45
_cell_angle_gamma 90.00
_space_group_name_H-M_alt 'P 1'
_space_group_IT_number 1
loop_
_space_group_symop_operation_xyz
'x,y,z'
loop_
_atom_site_label
_atom_site_type_symbol
_atom_site_fract_x
_atom_site_fract_y
_atom_site_fract_z
_atom_site_occupancy
K1 K 0.212 0.000 0.268 1
K2 K 0.788 0.000 0.732 1
Sc1 Sc 0.500 0.500 0.000 1
Cu1 Cu 0.000 0.500 0.500 1
# E_form in eV/atom: 0.724
# V in Å³/atom: 31.49
# Offset from the most stable computed form in meV per atom: 470

Entry 13:
# V2CrNi7Ge2 (PBE, optimized geometry)
data_V2CrNi7Ge2
_chemical_formula_sum 'V2 Cr1 Ni7 Ge2'
_cell_length_a 3.566
_cell_length_b 3.566
_cell_length_c 11.515
_cell_angle_alpha 90.00
_cell_angle_beta 90.00
_cell_angle_gamma 90.03
_space_group_name_H-M_alt 'P 1'
_space_group_IT_number 1
loop_
_space_group_symop_operation_xyz
'x,y,z'
loop_
_atom_site_label
_atom_site_type_symbol
_atom_site_fract_x
_atom_site_fract_y
_atom_site_fract_z
_atom_site_occupancy
V1 V 0.000 0.000 0.177 1
V2 V 0.000 0.000 0.823 1
Cr1 Cr 0.500 0.500 0.500 1
Ni1 Ni 0.000 0.000 0.500 1
Ni2 Ni 0.000 0.500 0.347 1
Ni3 Ni 0.000 0.500 0.653 1
Ni4 Ni 0.252 0.252 0.000 1
Ni5 Ni 0.500 0.000 0.347 1
Ni6 Ni 0.500 0.000 0.653 1
Ni7 Ni 0.748 0.748 0.000 1
Ge1 Ge 0.500 0.500 0.193 1
Ge2 Ge 0.500 0.500 0.807 1
# E_form in eV/atom: -0.103
# V in Å³/atom: 12.20

Entry 14:
# YTi2 (PBE, optimized geometry)
data_YTi2
_chemical_formula_sum 'Y1 Ti2'
_cell_length_a 5.934
_cell_length_b 5.934
_cell_length_c 5.934
_cell_angle_alpha 145.44
_cell_angle_beta 145.44
_cell_angle_gamma 49.68
_space_group_name_H-M_alt 'P 1'
_space_group_IT_number 1
loop_
_space_group_symop_operation_xyz
'x,y,z'
loop_
_atom_site_label
_atom_site_type_symbol
_atom_site_fract_x
_atom_site_fract_y
_atom_site_fract_z
_atom_site_occupancy
Y1 Y 0.000 0.000 0.000 1
Ti1 Ti 0.301 0.301 0.000 1
Ti2 Ti 0.699 0.699 0.000 1
# E_form in eV/atom: 0.187
# V in Å³/atom: 22.31

Entry 15:
# TlAgAsSe3 (PBE, optimized geometry)
data_TlAgAsSe3
_chemical_formula_sum 'Tl2 Ag2 As2 Se6'
_cell_length_a 8.580
_cell_length_b 3.875
_cell_length_c 9.923
_cell_angle_alpha 90.00
_cell_angle_beta 107.23
_cell_angle_gamma 90.00
_space_group_name_H-M_alt 'P 1'
_space_group_IT_number 1
loop_
_space_group_symop_operation_xyz
'x,y,z'
loop_
_atom_site_label
_atom_site_type_symbol
_atom_site_fract_x
_atom_site_fract_y
_atom_site_fract_z
_atom_site_occupancy
Tl1 Tl 0.224 0.250 0.271 1
Tl2 Tl 0.776 0.750 0.729 1
Ag1 Ag 0.089 0.250 0.606 1
Ag2 Ag 0.911 0.750 0.394 1
As1 As 0.320 0.750 0.890 1
As2 As 0.680 0.250 0.110 1
Se1 Se 0.107 0.250 0.880 1
Se2 Se 0.253 0.750 0.525 1
Se3 Se 0.453 0.750 0.146 1
Se4 Se 0.547 0.250 0.854 1
Se5 Se 0.747 0.250 0.475 1
Se6 Se 0.893 0.750 0.120 1
# Formation energy from raw total energies in eV/atom: -0.114
# V in Å³/atom: 26.26

Entry 16:
# Mg2HgPb2 (PBE, optimized geometry)
data_Mg2HgPb2
_chemical_formula_sum 'Mg4 Hg2 Pb4'
_cell_length_a 9.119
_cell_length_b 9.119
_cell_length_c 3.303
_cell_angle_alpha 90.00
_cell_angle_beta 90.00
_cell_angle_gamma 90.00
_space_group_name_H-M_alt 'P 1'
_space_group_IT_number 1
loop_
_space_group_symop_operation_xyz
'x,y,z'
loop_
_atom_site_label
_atom_site_type_symbol
_atom_site_fract_x
_atom_site_fract_y
_atom_site_fract_z
_atom_site_occupancy
Mg1 Mg 0.136 0.364 0.000 1
Mg2 Mg 0.364 0.864 0.000 1
Mg3 Mg 0.636 0.136 0.000 1
Mg4 Mg 0.864 0.636 0.000 1
Hg1 Hg 0.000 0.000 0.500 1
Hg2 Hg 0.500 0.500 0.500 1
Pb1 Pb 0.161 0.661 0.500 1
Pb2 Pb 0.339 0.161 0.500 1
Pb3 Pb 0.661 0.839 0.500 1
Pb4 Pb 0.839 0.339 0.500 1
# E_form in eV/atom: 0.016
# V in Å³/atom: 27.47
# Offset from the most stable computed form in meV per atom: 5

Entry 17:
# CsTiTcAs2 (PBE, optimized geometry)
data_CsTiTcAs2
_chemical_formula_sum 'Cs1 Ti1 Tc1 As2'
_cell_length_a 5.115
_cell_length_b 5.115
_cell_length_c 4.916
_cell_angle_alpha 90.00
_cell_angle_beta 90.00
_cell_angle_gamma 90.00
_space_group_name_H-M_alt 'P 1'
_space_group_IT_number 1
loop_
_space_group_symop_operation_xyz
'x,y,z'
loop_
_atom_site_label
_atom_site_type_symbol
_atom_site_fract_x
_atom_site_fract_y
_atom_site_fract_z
_atom_site_occupancy
Cs1 Cs 0.000 0.000 0.000 1
Ti1 Ti 0.500 0.500 0.500 1
Tc1 Tc 0.500 0.500 0.000 1
As1 As 0.000 0.500 0.500 1
As2 As 0.500 0.000 0.500 1
# E_form in eV/atom: 0.521
# V in Å³/atom: 25.73

Entry 18:
# HfOsRhS2 (PBE, optimized geometry)
data_HfOsRhS2
_chemical_formula_sum 'Hf1 Os1 Rh1 S2'
_cell_length_a 4.470
_cell_length_b 4.470
_cell_length_c 4.970
_cell_angle_alpha 90.00
_cell_angle_beta 90.00
_cell_angle_gamma 90.00
_space_group_name_H-M_alt 'P 1'
_space_group_IT_number 1
loop_
_space_group_symop_operation_xyz
'x,y,z'
loop_
_atom_site_label
_atom_site_type_symbol
_atom_site_fract_x
_atom_site_fract_y
_atom_site_fract_z
_atom_site_occupancy
Hf1 Hf 0.000 0.000 0.000 1
Os1 Os 0.500 0.500 0.000 1
Rh1 Rh 0.000 0.000 0.500 1
S1 S 0.000 0.500 0.500 1
S2 S 0.500 0.000 0.500 1
# Formation energy from raw total energies in eV/atom: 1.026
# V in Å³/atom: 19.87

Entry 19:
# CuSbOs3 (PBE, optimized geometry)
data_CuSbOs3
_chemical_formula_sum 'Cu1 Sb1 Os3'
_cell_length_a 4.489
_cell_length_b 4.489
_cell_length_c 4.489
_cell_angle_alpha 90.00
_cell_angle_beta 90.00
_cell_angle_gamma 90.00
_space_group_name_H-M_alt 'P 1'
_space_group_IT_number 1
loop_
_space_group_symop_operation_xyz
'x,y,z'
loop_
_atom_site_label
_atom_site_type_symbol
_atom_site_fract_x
_atom_site_fract_y
_atom_site_fract_z
_atom_site_occupancy
Cu1 Cu 0.000 0.000 0.000 1
Sb1 Sb 0.500 0.500 0.500 1
Os1 Os 0.000 0.000 0.500 1
Os2 Os 0.000 0.500 0.000 1
Os3 Os 0.500 0.000 0.000 1
# Formation energy from raw total energies in eV/atom: 1.904
# V in Å³/atom: 18.09
# Offset from the most stable computed form in meV per atom: 0

Entry 20:
# DyTh2Rh2 (PBE, optimized geometry)
data_DyTh2Rh2
_chemical_formula_sum 'Dy2 Th4 Rh4'
_cell_length_a 7.859
_cell_length_b 7.859
_cell_length_c 3.907
_cell_angle_alpha 90.00
_cell_angle_beta 90.00
_cell_angle_gamma 90.00
_space_group_name_H-M_alt 'P 1'
_space_group_IT_number 1
loop_
_space_group_symop_operation_xyz
'x,y,z'
loop_
_atom_site_label
_atom_site_type_symbol
_atom_site_fract_x
_atom_site_fract_y
_atom_site_fract_z
_atom_site_occupancy
Dy1 Dy 0.000 0.000 0.000 1
Dy2 Dy 0.500 0.500 0.000 1
Th1 Th 0.168 0.332 0.500 1
Th2 Th 0.332 0.832 0.500 1
Th3 Th 0.668 0.168 0.500 1
Th4 Th 0.832 0.668 0.500 1
Rh1 Rh 0.135 0.635 0.000 1
Rh2 Rh 0.365 0.135 0.000 1
Rh3 Rh 0.635 0.865 0.000 1
Rh4 Rh 0.865 0.365 0.000 1
# E_form in eV/atom: -0.753
# V in Å³/atom: 24.13
# Offset from the most stable computed form in meV per atom: 0